1.
Ba2ZnNiAg | PBE | relaxed

* energy relative to the elements: -0.0745 eV per atom
* space group: P4/mmm (123)

Lattice parameters (Å, degrees): 5.8967 5.8967 4.6972 90.00 90.00 90.00
Closest atoms and distances in Å follow each position.
Positions (direct):
Ba 0.0000 0.5000 0.0000  2 Ni 2.95
Ba 0.5000 0.0000 0.0000  2 Ni 2.95
Zn 0.0000 0.0000 0.5000  2 Ni 2.35
Ni 0.0000 0.0000 0.0000  2 Zn 2.35
Ag 0.5000 0.5000 0.5000  8 Ba 3.77, 4 Zn 4.17

2.
NaIn5Au4 | PBE | relaxed

* energy relative to the elements: -0.2281 eV per atom
* space group: C2/m (12)

Lattice parameters (Å, degrees): 7.4202 7.4202 7.0180 93.52 93.52 37.30
Closest atoms and distances in Å follow each position.
Positions (direct):
Na 0.0000 0.0000 0.0000  6 Au 2.94-3.07
In 0.0000 0.0000 0.5000  6 Au 2.87-2.97
In 0.3261 0.3261 0.4964  4 Au 2.79-2.93
In 0.3334 0.3334 0.0058  5 Au 2.83-2.95
In 0.6666 0.6666 0.9942  5 Au 2.83-2.95
In 0.6739 0.6739 0.5036  4 Au 2.79-2.93
Au 0.1703 0.1703 0.7477  7 In 2.83-2.94, 1 Na 3.07
Au 0.4871 0.4871 0.7512  5 In 2.79-2.97, 2 Na 2.94
Au 0.5129 0.5129 0.2488  5 In 2.79-2.97, 2 Na 2.94
Au 0.8297 0.8297 0.2523  7 In 2.83-2.94, 1 Na 3.07

3.
La6ThIn5 | PBE | relaxed

* energy relative to the elements: -0.3633 eV per atom
* space group: Immm (71)

Lattice parameters (Å, degrees): 9.8186 9.8186 9.8186 146.62 132.60 59.21
Closest atoms and distances in Å follow each position.
Positions (direct):
La 0.0713 0.3277 0.7436  7 In 3.40-3.55, 1 Th 3.57
La 0.2325 0.0000 0.2325  6 In 3.36-3.41, 2 Th 3.52, 1 La 3.67
La 0.4159 0.6723 0.7436  7 In 3.40-3.55, 1 Th 3.57
La 0.5841 0.3277 0.2564  7 In 3.40-3.55, 1 Th 3.57
La 0.7675 0.0000 0.7675  6 In 3.36-3.41, 2 Th 3.52, 1 La 3.67
La 0.9287 0.6723 0.2564  7 In 3.40-3.55, 1 Th 3.57
Th 0.5000 0.5000 0.0000  8 La 3.52-3.57, 4 In 3.84
In 0.0000 0.5000 0.5000  8 La 3.36-3.51
In 0.1680 0.1680 0.0000  8 La 3.40-3.41
In 0.3472 0.8472 0.5000  8 La 3.36-3.55
In 0.6528 0.1528 0.5000  8 La 3.36-3.55
In 0.8320 0.8320 0.0000  8 La 3.40-3.41

4.
Nd6Ni2PCl3 | PBE | relaxed

* space group: C2/m (12)
* formation energy without anion corrections: -1.107 eV/atom

Lattice parameters (Å, degrees): 7.0994 7.0994 7.5021 99.16 99.16 119.69
Closest atoms and distances in Å follow each position.
Positions (direct):
Nd 0.0836 0.4277 0.7861  2 Ni 2.78-2.79, 1 P 2.88
Nd 0.2256 0.2256 0.2104  2 Ni 2.78, 1 P 2.88, 3 Cl 3.09-3.10
Nd 0.4277 0.0836 0.7861  2 Ni 2.78-2.79, 1 P 2.88
Nd 0.5723 0.9164 0.2139  2 Ni 2.78-2.79, 1 P 2.88
Nd 0.7744 0.7744 0.7896  2 Ni 2.78, 1 P 2.88, 3 Cl 3.09-3.10
Nd 0.9164 0.5723 0.2139  2 Ni 2.78-2.79, 1 P 2.88
Ni 0.1678 0.8322 0.0000  6 Nd 2.78-2.79
Ni 0.8322 0.1678 0.0000  6 Nd 2.78-2.79
P 0.5000 0.5000 0.0000  6 Nd 2.88
Cl 0.0000 0.0000 0.5000  6 Nd 3.09-3.15
Cl 0.3420 0.6580 0.5000  6 Nd 3.10-3.17
Cl 0.6580 0.3420 0.5000  6 Nd 3.10-3.17

5.
NaNpAg2F8 | PBE | relaxed

* space group: P-1 (2)
* formation energy without anion corrections: -2.389 eV/atom

Lattice parameters (Å, degrees): 3.9808 5.8203 8.0964 90.05 90.00 90.06
Closest atoms and distances in Å follow each position.
Positions (direct):
Na 0.0000 0.0000 0.0000  4 F 2.41
Np 0.0000 0.0000 0.5000  8 F 2.13-2.33
Ag 0.4999 0.4990 0.2088  2 F 2.29
Ag 0.5001 0.5010 0.7912  2 F 2.29
F 0.0005 0.2289 0.2946  1 Np 2.13
F 0.0005 0.2323 0.7035  1 Np 2.13
F 0.9995 0.7677 0.2965  1 Np 2.13
F 0.9995 0.7711 0.7054  1 Np 2.13
F 0.5004 0.2075 0.4989  2 Np 2.33, 5 F 2.42-2.59
F 0.5004 0.2338 0.9991  2 Ag 2.29, 2 Na 2.41
F 0.4996 0.7662 0.0009  2 Ag 2.29, 2 Na 2.41
F 0.4996 0.7925 0.5011  2 Np 2.33, 5 F 2.42-2.59

6.
LaPr3NdY | PBE | relaxed

* energy relative to the elements: 0.0155 eV per atom
* space group: P2_1/m (11)

Lattice parameters (Å, degrees): 8.2290 5.2460 10.4413 90.00 108.49 90.00
Closest atoms and distances in Å follow each position.
Positions (direct):
La 0.1681 0.2500 0.2911  3 Nd 3.69, 8 Pr 3.69-3.71, 1 Y 3.70
La 0.8319 0.7500 0.7089  3 Nd 3.69, 8 Pr 3.69-3.71, 1 Y 3.70
Pr 0.1690 0.2500 0.7927  3 Y 3.67, 1 Nd 3.67, 6 Pr 3.69-3.72, 2 La 3.71
Pr 0.1687 0.7500 0.5432  1 Y 3.67, 3 Nd 3.68-3.69, 5 Pr 3.70-3.72, 3 La 3.70-3.71
Pr 0.1698 0.7500 0.0412  3 Y 3.63-3.69, 1 Nd 3.67, 5 Pr 3.69-3.73, 3 La 3.69-3.70
Pr 0.8302 0.2500 0.9588  3 Y 3.63-3.69, 1 Nd 3.67, 5 Pr 3.69-3.73, 3 La 3.69-3.70
Pr 0.8313 0.2500 0.4568  1 Y 3.67, 3 Nd 3.68-3.69, 5 Pr 3.70-3.72, 3 La 3.70-3.71
Pr 0.8310 0.7500 0.2073  3 Y 3.67, 1 Nd 3.67, 6 Pr 3.69-3.72, 2 La 3.71
Nd 0.5000 0.2500 0.6264  5 Pr 3.67-3.69, 3 La 3.69, 2 Y 3.71, 2 Nd 3.72
Nd 0.5000 0.7500 0.3736  5 Pr 3.67-3.69, 3 La 3.69, 2 Y 3.71, 2 Nd 3.72
Y 0.4980 0.7500 0.8765  7 Pr 3.63-3.69, 2 Y 3.67, 1 La 3.70, 2 Nd 3.71
Y 0.5020 0.2500 0.1235  7 Pr 3.63-3.69, 2 Y 3.67, 1 La 3.70, 2 Nd 3.71

7.
Sb3PdPt | PBE | relaxed

* space group: P-1 (2)
* energy above the lowest structure with this stoichiometry: 0.0 meV per atom
* formation energy without anion corrections: -0.314 eV/atom

Lattice parameters (Å, degrees): 3.9064 7.8151 7.8276 85.21 89.90 89.95
Closest atoms and distances in Å follow each position.
Positions (direct):
Sb 0.0011 0.1877 0.0365  1 Pd 2.63, 2 Pt 2.69
Sb 0.0028 0.5360 0.6879  1 Pd 2.64, 2 Pt 2.69
Sb 0.4974 0.8654 0.3655  1 Pt 2.71, 4 Pd 2.82-2.85
Sb 0.5026 0.1346 0.6345  1 Pt 2.71, 4 Pd 2.82-2.85
Sb 0.9972 0.4640 0.3121  1 Pd 2.64, 2 Pt 2.69
Sb 0.9989 0.8123 0.9635  1 Pd 2.63, 2 Pt 2.69
Pd 0.0016 0.1272 0.3723  6 Sb 2.63-2.85, 1 Pd 2.70
Pd 0.9984 0.8728 0.6277  6 Sb 2.63-2.85, 1 Pd 2.70
Pt 0.4982 0.6303 0.1298  5 Sb 2.69-2.71, 1 Pt 2.99
Pt 0.5018 0.3697 0.8702  5 Sb 2.69-2.71, 1 Pt 2.99

8.
LiMgTe4 | PBE | relaxed

* space group: F-43m (216)
* formation energy without anion corrections: 0.114 eV/atom

Lattice parameters (Å, degrees): 6.4490 6.4490 6.4490 60.00 60.00 60.00
Closest atoms and distances in Å follow each position.
Positions (direct):
Li 0.0000 0.0000 0.0000  12 Te 3.78, 4 Mg 3.95
Mg 0.7500 0.7500 0.7500  12 Te 3.78, 4 Li 3.95
Te 0.3757 0.3757 0.3757  6 Te 3.21-3.24
Te 0.3757 0.3757 0.8729  6 Te 3.21-3.24
Te 0.3757 0.8729 0.3757  6 Te 3.21-3.24
Te 0.8729 0.3757 0.3757  6 Te 3.21-3.24

Number 1: electronic total energy -2.8249 eV/atom. Number 2: electronic total energy -3.0402 eV/atom. Number 3: electronic total energy -4.5864 eV/atom. Number 4: electronic total energy -5.3674 eV/atom. Number 5: electronic total energy -5.3001 eV/atom. Number 6: electronic total energy -5.0675 eV/atom. Number 7: electronic total energy -5.0339 eV/atom. Number 8: electronic total energy -2.5652 eV/atom.